Cs2NpU2S6 | Alexandria via LeMat-Bulk | GGA-PBE | relaxed; space-group type = No. 12; formation energy from raw total energies = -1507 kJ/mol of formula units
1.0
-2.542 -2.179 6.163
5.828 -2.899 -2.614
3.488 7.355 2.723
S Cs Np U
6 2 1 2
Cartesian
1.685 3.947 4.125
4.514 3.703 1.158
2.039 0.970 1.865
5.089 -1.669 2.147
4.735 1.307 4.408
2.259 -1.426 5.114
-1.151 -2.298 4.705
4.437 -2.779 -1.155
1.744 3.677 1.361
4.775 1.019 1.680
1.998 1.258 4.592

=====

NaNp3O10 | Alexandria via LeMat-Bulk | GGA-PBE | relaxed; space-group type = No. 225; formation energy from raw total energies = -3187 kJ/mol of formula units
1.0
6.816 0.000 3.935
2.272 6.426 3.935
0.000 0.000 7.870
O Np Na
20 6 2
Cartesian
2.186 0.000 6.608
4.544 0.998 7.870
3.500 2.475 9.679
5.588 3.951 6.062
0.729 2.061 6.608
5.358 2.061 3.935
4.630 0.000 2.673
0.000 0.000 5.346
0.000 0.000 2.524
1.543 4.365 2.673
6.632 2.475 7.870
2.186 0.000 1.262
2.456 3.951 7.870
5.588 3.951 9.679
4.630 0.000 5.197
4.544 5.428 7.870
3.729 4.365 3.935
0.729 2.061 1.262
3.500 2.475 6.062
1.543 4.365 5.197
5.630 1.677 5.990
5.630 1.677 9.751
6.715 4.749 7.870
2.372 1.677 7.870
3.458 4.749 9.751
3.458 4.749 5.990
2.272 1.606 3.935
6.816 4.819 11.805

=====

AlTl | Alexandria via LeMat-Bulk | GGA-PBE | relaxed; space-group type = No. 70; E_form = 0.2943 eV/atom
1.0
9.287 0.000 0.000
0.000 14.895 0.000
0.000 0.000 5.942
Al Tl
16 16
Cartesian
2.322 9.852 1.486
2.322 2.405 4.457
0.000 6.129 2.971
4.644 8.766 0.000
2.322 5.043 4.457
6.966 2.405 1.486
0.000 13.576 0.000
6.966 5.043 1.486
4.644 13.576 2.971
6.966 12.490 4.457
0.000 8.766 2.971
4.644 1.319 2.971
0.000 1.319 0.000
6.966 9.852 4.457
2.322 12.490 1.486
4.644 6.129 0.000
8.511 3.724 4.457
6.189 7.447 2.971
3.867 11.171 4.457
3.867 3.724 1.486
5.420 3.724 4.457
3.098 0.000 0.000
0.777 11.171 4.457
3.098 7.447 2.971
7.742 0.000 2.971
1.545 0.000 2.971
7.742 7.447 0.000
1.545 7.447 0.000
5.420 11.171 1.486
0.777 3.724 1.486
8.511 11.171 1.486
6.189 0.000 0.000

=====

| no. | uncorrected energy (eV/atom) |
| --- | --- |
| 1 | -7.06 |
| 2 | -8.77 |
| 3 | -2.76 |